Record 1
Here is a geometry-optimized Ga3TcOs structure from Alexandria via LeMat-Bulk. Energies are from PBEsol.

Calculated values
space-group type: Pm-3m (221)
energy relative to the elements: 957 meV/atom

Lattice parameters (Å, degrees): 4.678 4.678 4.678 90.00 90.00 90.00
Last column: magnetic moment on the atom in μB.
Fractional positions:
1 Ga 0.000 0.000 0.500  0.00
2 Ga 0.500 0.000 0.000  0.00
3 Ga 0.000 0.500 0.000  0.00
4 Tc 0.500 0.500 0.500  3.24
5 Os 0.000 0.000 0.000  0.25

=====

Record 2
Here is a geometry-optimized La3CuCl structure from Alexandria via LeMat-Bulk. Energies are from PBEsol.

Calculated values
space-group type: Pm-3m (221)
energy relative to the elements, uncorrected: -270 meV/atom

Lattice parameters (Å, degrees): 5.327 5.327 5.327 90.00 90.00 90.00
Fractional positions:
1 La 0.000 0.000 0.500
2 La 0.500 0.000 0.000
3 La 0.000 0.500 0.000
4 Cu 0.500 0.500 0.500
5 Cl 0.000 0.000 0.000

=====

Record 3
Here is a geometry-optimized NiMoPt2 structure from Alexandria via LeMat-Bulk. Energies are from PBEsol.

Calculated values
space-group type: P4mm (99)
energy relative to the elements: -178 meV/atom

Lattice parameters (Å, degrees): 2.707 2.707 7.548 90.00 90.00 90.00
Fractional positions:
1 Pt 0.500 0.500 0.258
2 Pt 0.000 0.000 0.981
3 Ni 0.500 0.500 0.744
4 Mo 0.000 0.000 0.518

=====

Number 1: total magnetic moment 0.76 μB per atom. Number 2: total magnetic moment 0.00 μB per atom. Number 3: total magnetic moment 0.00 μB per atom.